# MgAlIrPt

An optimized crystal structure of MgAlIrPt (PBE, Alexandria via LeMat-Bulk).

Cell lengths 6.1582, 6.1582, 6.1582 Å; angles 90.00, 90.00, 90.00 degrees
Closest atoms and distances in Å follow each position.
Space group F-43m (No. 216)
Symmetry-distinct sites (fractional):
Mg  0.0000  0.0000  0.0000 (multiplicity 4)  4 Pt 2.67, 4 Ir 2.67
Al  0.0000  0.0000  0.5000 (multiplicity 4)  4 Ir 2.67, 4 Pt 2.67
Ir  0.2500  0.2500  0.7500 (multiplicity 4)  4 Mg 2.67, 4 Al 2.67
Pt  0.2500  0.2500  0.2500 (multiplicity 4)  4 Al 2.67, 4 Mg 2.67

Results
E_form = -817 meV/atom
Total magnetic moment = 0.000 μB/cell

# Pu2MgAlIr2

An optimized crystal structure of Pu2MgAlIr2 (PBE, Alexandria via LeMat-Bulk).

Cell lengths 5.6975, 14.7377, 5.7221 Å; angles 90.00, 90.00, 90.00 degrees
Closest atoms and distances in Å follow each position.
Space group Ibam (No. 72)
Symmetry-distinct sites (fractional):
Pu  0.2379  0.1758  0.0000 (multiplicity 8)  5 Ir 2.91-3.01, 2 Mg 3.25
Mg  0.0000  0.0000  0.2500 (multiplicity 4)  4 Ir 2.76, 2 Al 2.85, 2 Mg 2.86
Al  0.0000  0.5000  0.2500 (multiplicity 4)  4 Ir 2.63, 2 Mg 2.85, 2 Al 2.86
Ir  0.2282  0.3788  0.0000 (multiplicity 8)  2 Al 2.63, 2 Mg 2.76, 1 Pu 2.91

Results
E_form = -498 meV/atom
Total magnetic moment = 42.535 μB/cell

# RbMgAl2Ir

An optimized crystal structure of RbMgAl2Ir (PBE, Alexandria via LeMat-Bulk).

Cell lengths 4.8631, 4.8631, 5.2187 Å; angles 90.00, 90.00, 90.00 degrees
Closest atoms and distances in Å follow each position.
Space group P4/mmm (No. 123)
Symmetry-distinct sites (fractional):
Rb  0.0000  0.0000  0.0000 (multiplicity 1)  4 Mg 3.44, 8 Al 3.57
Mg  0.5000  0.5000  0.0000 (multiplicity 1)  2 Ir 2.61
Al  0.0000  0.5000  0.5000 (multiplicity 2)  2 Ir 2.43
Ir  0.5000  0.5000  0.5000 (multiplicity 1)  4 Al 2.43, 2 Mg 2.61

Results
E_form = -277 meV/atom
Total magnetic moment = 0.000 μB/cell

# MgAl2IrRu

An optimized crystal structure of MgAl2IrRu (PBE, Alexandria via LeMat-Bulk).

Cell lengths 4.6085, 4.6085, 4.8005 Å; angles 90.00, 90.00, 90.00 degrees
Closest atoms and distances in Å follow each position.
Space group P4/mmm (No. 123)
Symmetry-distinct sites (fractional):
Mg  0.0000  0.0000  0.0000 (multiplicity 1)  2 Ir 2.40
Al  0.0000  0.5000  0.5000 (multiplicity 2)  2 Ir 2.30
Ir  0.0000  0.0000  0.5000 (multiplicity 1)  4 Al 2.30, 2 Mg 2.40
Ru  0.5000  0.5000  0.0000 (multiplicity 1)  4 Mg 3.26, 8 Al 3.33

Results
E_form = 450 meV/atom
Total magnetic moment = 1.335 μB/cell

# MgAlSiIr2

An optimized crystal structure of MgAlSiIr2 (PBE, Alexandria via LeMat-Bulk).

Cell lengths 4.4577, 4.4577, 4.6704 Å; angles 90.00, 90.00, 90.00 degrees
Closest atoms and distances in Å follow each position.
Space group P4/mmm (No. 123)
Symmetry-distinct sites (fractional):
Mg  0.0000  0.0000  0.0000 (multiplicity 1)  2 Si 2.34
Al  0.5000  0.5000  0.0000 (multiplicity 1)  4 Mg 3.15, 8 Ir 3.23
Si  0.0000  0.0000  0.5000 (multiplicity 1)  4 Ir 2.23, 2 Mg 2.34
Ir  0.0000  0.5000  0.5000 (multiplicity 2)  2 Si 2.23

Results
Energy relative to the lowest polymorph listed for this composition = 0.00 eV per formula unit
Total magnetic moment = 0.000 μB/cell
Formation energy without anion corrections = 0.445 eV per atom

# MgAlSiIr2

An optimized crystal structure of MgAlSiIr2 (PBE, Alexandria via LeMat-Bulk).

Cell lengths 4.5469, 4.5469, 4.5518 Å; angles 90.00, 90.00, 90.00 degrees
Closest atoms and distances in Å follow each position.
Space group P4/mmm (No. 123)
Symmetry-distinct sites (fractional):
Mg  0.0000  0.0000  0.0000 (multiplicity 1)  4 Si 3.22, 8 Ir 3.22
Al  0.5000  0.5000  0.5000 (multiplicity 1)  4 Ir 2.27, 2 Si 2.28
Si  0.5000  0.5000  0.0000 (multiplicity 1)  2 Al 2.28
Ir  0.0000  0.5000  0.5000 (multiplicity 2)  2 Al 2.27

Results
Energy relative to the lowest polymorph listed for this composition = 1.09 eV per formula unit
Total magnetic moment = 0.000 μB/cell
Formation energy without anion corrections = 0.664 eV per atom

# Mg2AlSi3Ir4

An optimized crystal structure of Mg2AlSi3Ir4 (PBE, Alexandria via LeMat-Bulk).

Cell lengths 3.9489, 3.9489, 10.4356 Å; angles 90.00, 90.00, 90.00 degrees
Closest atoms and distances in Å follow each position.
Space group P-4m2 (No. 115)
Symmetry-distinct sites (fractional):
Mg  0.0000  0.5000  0.2448 (multiplicity 2)  8 Ir 3.02-3.23, 6 Si 3.04-3.32, 2 Al 3.32
Al  0.0000  0.0000  0.5000 (multiplicity 1)  4 Ir 2.49
Si  0.0000  0.5000  0.8715 (multiplicity 2)  5 Ir 2.37-2.39
Si  0.5000  0.5000  0.5000 (multiplicity 1)  4 Ir 2.49
Ir  0.0000  0.0000  0.0000 (multiplicity 1)  4 Si 2.39
Ir  0.0000  0.5000  0.6446 (multiplicity 2)  3 Si 2.37-2.49, 2 Al 2.49
Ir  0.5000  0.5000  0.0000 (multiplicity 1)  4 Si 2.39

Results
Total magnetic moment = 0.000 μB/cell
Formation energy without anion corrections = -0.682 eV per atom

# SrMgAlIr2

An optimized crystal structure of SrMgAlIr2 (PBE, Alexandria via LeMat-Bulk).

Cell lengths 4.6502, 4.6502, 5.2619 Å; angles 90.00, 90.00, 90.00 degrees
Closest atoms and distances in Å follow each position.
Space group P4/mmm (No. 123)
Symmetry-distinct sites (fractional):
Sr  0.0000  0.0000  0.0000 (multiplicity 1)  2 Al 2.63
Mg  0.5000  0.5000  0.0000 (multiplicity 1)  4 Sr 3.29, 8 Ir 3.51
Al  0.0000  0.0000  0.5000 (multiplicity 1)  4 Ir 2.33
Ir  0.0000  0.5000  0.5000 (multiplicity 2)  2 Al 2.33

Results
E_form = 491 meV/atom
Total magnetic moment = 0.000 μB/cell

# Sr2MgAlIr

An optimized crystal structure of Sr2MgAlIr (PBE, Alexandria via LeMat-Bulk).

Cell lengths 6.0640, 6.0640, 4.5529 Å; angles 90.00, 90.00, 90.00 degrees
Closest atoms and distances in Å follow each position.
Space group P4/mmm (No. 123)
Symmetry-distinct sites (fractional):
Sr  0.0000  0.5000  0.0000 (multiplicity 2)  2 Al 3.03
Mg  0.0000  0.0000  0.5000 (multiplicity 1)  8 Sr 3.79
Al  0.5000  0.5000  0.0000 (multiplicity 1)  2 Ir 2.28
Ir  0.5000  0.5000  0.5000 (multiplicity 1)  2 Al 2.28

Results
E_form = 180 meV/atom
Total magnetic moment = 0.000 μB/cell

# MgTaAl2Ir

An optimized crystal structure of MgTaAl2Ir (PBE, Alexandria via LeMat-Bulk).

Cell lengths 4.6858, 4.6858, 5.0354 Å; angles 90.00, 90.00, 90.00 degrees
Closest atoms and distances in Å follow each position.
Space group P4/mmm (No. 123)
Symmetry-distinct sites (fractional):
Mg  0.0000  0.0000  0.0000 (multiplicity 1)  4 Ta 3.31, 8 Al 3.44
Ta  0.5000  0.5000  0.0000 (multiplicity 1)  2 Ir 2.52
Al  0.0000  0.5000  0.5000 (multiplicity 2)  2 Ir 2.34
Ir  0.5000  0.5000  0.5000 (multiplicity 1)  4 Al 2.34, 2 Ta 2.52

Results
E_form = 273 meV/atom
Total magnetic moment = 0.000 μB/cell

# TmMgAlIr

An optimized crystal structure of TmMgAlIr (PBE, Alexandria via LeMat-Bulk).

Cell lengths 6.6141, 6.6141, 6.6141 Å; angles 90.00, 90.00, 90.00 degrees
Closest atoms and distances in Å follow each position.
Space group F-43m (No. 216)
Symmetry-distinct sites (fractional):
Tm  0.0000  0.0000  0.0000 (multiplicity 4)  4 Ir 2.86, 4 Mg 2.86
Mg  0.2500  0.2500  0.2500 (multiplicity 4)  4 Tm 2.86, 4 Al 2.86
Al  0.0000  0.0000  0.5000 (multiplicity 4)  4 Mg 2.86, 4 Ir 2.86
Ir  0.2500  0.2500  0.7500 (multiplicity 4)  4 Tm 2.86, 4 Al 2.86

Results
E_form = -506 meV/atom
Total magnetic moment = 0.000 μB/cell

# Y2MgAl2Ir5

An optimized crystal structure of Y2MgAl2Ir5 (PBE, Alexandria via LeMat-Bulk).

Cell lengths 9.9372, 9.9372, 3.4777 Å; angles 90.00, 90.00, 90.00 degrees
Closest atoms and distances in Å follow each position.
Space group P4/mbm (No. 127)
Symmetry-distinct sites (fractional):
Y  0.1753  0.3247  0.0000 (multiplicity 4)  3 Al 2.82-3.02, 6 Ir 3.02-3.13
Mg  0.0000  0.0000  0.0000 (multiplicity 2)  8 Ir 2.77
Al  0.1241  0.6241  0.0000 (multiplicity 4)  6 Ir 2.46-2.48
Ir  0.0000  0.5000  0.5000 (multiplicity 2)  4 Al 2.46
Ir  0.0650  0.7923  0.5000 (multiplicity 8)  2 Al 2.48, 2 Mg 2.77

Results
E_form = -695 meV/atom
Total magnetic moment = 0.000 μB/cell

# MgAlZnIr

An optimized crystal structure of MgAlZnIr (PBE, Alexandria via LeMat-Bulk).

Cell lengths 6.2148, 6.2148, 6.2148 Å; angles 90.00, 90.00, 90.00 degrees
Closest atoms and distances in Å follow each position.
Space group F-43m (No. 216)
Symmetry-distinct sites (fractional):
Mg  0.0000  0.0000  0.0000 (multiplicity 4)  4 Zn 2.69, 4 Ir 2.69
Al  0.0000  0.0000  0.5000 (multiplicity 4)  4 Ir 2.69, 4 Zn 2.69
Zn  0.2500  0.2500  0.2500 (multiplicity 4)  4 Al 2.69, 4 Mg 2.69
Ir  0.2500  0.2500  0.7500 (multiplicity 4)  4 Mg 2.69, 4 Al 2.69

Results
Energy relative to the lowest polymorph listed for this composition = 0.00 eV per formula unit
E_form = -367 meV/atom
Total magnetic moment = 0.000 μB/cell

# MgAlZnIr

An optimized crystal structure of MgAlZnIr (PBE, Alexandria via LeMat-Bulk).

Cell lengths 4.1699, 4.1699, 13.6368 Å; angles 90.00, 90.00, 120.00 degrees
Closest atoms and distances in Å follow each position.
Space group R3m (No. 160, hexagonal axes)
Symmetry-distinct sites (fractional):
Mg  0.0000  0.0000  0.0000 (multiplicity 3)  1 Al 2.53, 3 Zn 2.67, 1 Ir 2.76
Al  0.0000  0.0000  0.8143 (multiplicity 3)  3 Ir 2.52, 1 Mg 2.53, 3 Zn 2.55
Zn  0.0000  0.0000  0.4188 (multiplicity 3)  3 Al 2.55, 3 Mg 2.67
Ir  0.0000  0.0000  0.2020 (multiplicity 3)  3 Al 2.52, 1 Mg 2.76

Results
Energy relative to the lowest polymorph listed for this composition = 0.61 eV per formula unit
E_form = -214 meV/atom
Total magnetic moment = 0.000 μB/cell

# MgZr2Al2Ir5

An optimized crystal structure of MgZr2Al2Ir5 (PBE, Alexandria via LeMat-Bulk).

Cell lengths 9.5807, 9.5807, 3.5439 Å; angles 90.00, 90.00, 90.00 degrees
Closest atoms and distances in Å follow each position.
Space group P4/mbm (No. 127)
Symmetry-distinct sites (fractional):
Mg  0.0000  0.0000  0.0000 (multiplicity 2)  8 Ir 2.74
Zr  0.1754  0.3246  0.0000 (multiplicity 4)  3 Al 2.72-2.91, 6 Ir 2.96-3.03
Al  0.1242  0.6242  0.0000 (multiplicity 4)  6 Ir 2.44-2.46, 1 Zr 2.72
Ir  0.0000  0.5000  0.5000 (multiplicity 2)  4 Al 2.44
Ir  0.0701  0.7939  0.5000 (multiplicity 8)  2 Al 2.46, 2 Mg 2.74

Results
E_form = -681 meV/atom
Total magnetic moment = 0.000 μB/cell

# Mn2AlIr

An optimized crystal structure of Mn2AlIr (PBE, Alexandria via LeMat-Bulk).

Cell lengths 2.7082, 3.7355, 5.1963 Å; angles 90.00, 90.00, 90.00 degrees
Closest atoms and distances in Å follow each position.
Space group Pmmm (No. 47)
Symmetry-distinct sites (fractional):
Mn  0.0000  0.0000  0.2489 (multiplicity 2)  4 Mn 2.59-2.71, 4 Ir 2.64, 4 Al 2.65
Al  0.5000  0.5000  0.5000 (multiplicity 1)  2 Ir 2.60, 8 Mn 2.65, 2 Al 2.71
Ir  0.5000  0.5000  0.0000 (multiplicity 1)  2 Al 2.60, 8 Mn 2.64, 2 Ir 2.71

Results
E_form = -235 meV/atom
Total magnetic moment = 4.130 μB/cell

# MnAl2Ir

An optimized crystal structure of MnAl2Ir (PBE, Alexandria via LeMat-Bulk).

Cell lengths 2.9566, 4.6757, 8.1823 Å; angles 90.00, 90.00, 90.00 degrees
Closest atoms and distances in Å follow each position.
Space group Cmmm (No. 65)
Symmetry-distinct sites (fractional):
Mn  0.0000  0.0000  0.0000 (multiplicity 2)  4 Al 2.51, 4 Mn 2.77
Al  0.0000  0.5000  0.2473 (multiplicity 4)  2 Mn 2.51, 2 Ir 2.54, 4 Al 2.77
Ir  0.0000  0.0000  0.5000 (multiplicity 2)  4 Al 2.54, 4 Ir 2.77

Results
E_form = -265 meV/atom
Total magnetic moment = 4.545 μB/cell

# Mn2AlIr

An optimized crystal structure of Mn2AlIr (PBE, Alexandria via LeMat-Bulk).

Cell lengths 2.7437, 2.7437, 24.7224 Å; angles 90.00, 90.00, 120.00 degrees
Closest atoms and distances in Å follow each position.
Space group R3m (No. 160, hexagonal axes)
Symmetry-distinct sites (fractional):
Mn  0.0000  0.0000  0.0000 (multiplicity 3)  9 Mn 2.47-2.74, 3 Al 2.62
Mn  0.0000  0.0000  0.2565 (multiplicity 3)  9 Mn 2.47-2.74, 3 Ir 2.67
Al  0.0000  0.0000  0.7509 (multiplicity 3)  3 Mn 2.62, 3 Ir 2.64, 6 Al 2.74
Ir  0.0000  0.0000  0.5028 (multiplicity 3)  3 Al 2.64, 3 Mn 2.67, 6 Ir 2.74

Results
E_form = -112 meV/atom
Total magnetic moment = 2.716 μB/cell

# Mn2AlIr

An optimized crystal structure of Mn2AlIr (PBE, Alexandria via LeMat-Bulk).

Cell lengths 9.2338, 2.8400, 4.1940 Å; angles 90.00, 110.44, 90.00 degrees
Closest atoms and distances in Å follow each position.
Space group C2/m (No. 12)
Symmetry-distinct sites (fractional):
Mn  0.2491  0.0000  0.2459 (multiplicity 4)  4 Mn 2.51-2.56, 2 Ir 2.59, 2 Al 2.61
Al  0.0000  0.0000  0.5000 (multiplicity 2)  4 Ir 2.53, 4 Mn 2.61
Ir  0.0000  0.5000  0.0000 (multiplicity 2)  4 Al 2.53, 4 Mn 2.59

Results
E_form = -240 meV/atom
Total magnetic moment = 7.047 μB/cell

# Mn2AlIr

An optimized crystal structure of Mn2AlIr (PBE, Alexandria via LeMat-Bulk).

Cell lengths 5.2775, 7.3993, 2.7632 Å; angles 90.00, 90.00, 90.00 degrees
Closest atoms and distances in Å follow each position.
Space group Cmmm (No. 65)
Symmetry-distinct sites (fractional):
Mn  0.2500  0.2500  0.0000 (multiplicity 4)  4 Mn 2.64-2.76, 4 Al 2.66, 4 Ir 2.66
Al  0.0000  0.0000  0.5000 (multiplicity 2)  2 Ir 2.64, 8 Mn 2.66, 2 Al 2.76
Ir  0.0000  0.5000  0.5000 (multiplicity 2)  2 Al 2.64, 8 Mn 2.66, 2 Ir 2.76

Results
E_form = -264 meV/atom
Total magnetic moment = 10.929 μB/cell